# LiFeRu2

A crystal of LiFeRu2 relaxed with PBEsol (meta-GGA SCAN, Alexandria via LeMat-Bulk).

Lattice parameters (Å, degrees): 2.8990 2.8990 5.6222 90.00 90.00 90.00
Closest atoms and distances in Å follow each position.
Element x y z (fractional)
1 Fe 0.5000 0.5000 0.0000  8 Ru 2.50
2 Li 0.5000 0.5000 0.5000  8 Ru 2.47
3 Ru 0.0000 0.0000 0.2544  4 Li 2.47, 4 Fe 2.50, 1 Ru 2.76
4 Ru 0.0000 0.0000 0.7456  4 Li 2.47, 4 Fe 2.50, 1 Ru 2.76

Properties
energy relative to the lowest polymorph listed for this composition	20	meV per atom
final energy	-89.36	eV per formula unit
calculated formation energy	0.204	eV/atom
V	47.25	Å³/cell
space-group type	P4/mmm